1.
Here is an optimized crystal structure of MgSn2Cl8 from Alexandria via LeMat-Bulk. Energies are from GGA-PBE.

Summary:
* crystal system: monoclinic
* magnetic moment: 0.0 μB per cell
* total energy: -71.71 eV for the cell shown

Lattice parameters (Å, degrees): 12.2868 10.6455 6.3027 90.00 96.76 90.00
Last column: nearest neighbours and their distance in Å.
Space group C2/m (No. 12)
Unique sites:
Mg 0.0000 0.0000 0.0000 x2  6 Cl 2.53-2.57
Sn 0.2207 0.0000 0.6731 x4  4 Cl 2.53-2.57
Cl 0.0892 0.5000 0.1229 x4  1 Sn 2.53, 1 Cl 2.53
Cl 0.0918 0.1639 0.7909 x8  1 Sn 2.53, 1 Mg 2.53
Cl 0.1759 0.0000 0.2651 x4  1 Sn 2.57, 1 Mg 2.57

***

2.
Here is an optimized crystal structure of Cs2GaPt from Alexandria via LeMat-Bulk. Energies are from GGA-PBE.

Summary:
* crystal system: tetragonal
* Fermi-level density of states: 1.27 states/eV/f.u.
* magnetic moment: 0.0 μB per cell
* energy above the lowest structure with this stoichiometry: 0.0 meV/atom
* E_form: -0.206 eV/atom

Lattice parameters (Å, degrees): 13.2995 13.2995 4.8287 90.00 90.00 90.00
Last column: nearest neighbours and their distance in Å.
Space group I-42d (No. 122)
Unique sites:
Cs 0.0623 0.7500 0.1250 x8  2 Pt 3.48, 2 Ga 3.88
Ga 0.0000 0.0000 0.5000 x4  2 Pt 2.41
Pt 0.0000 0.0000 0.0000 x4  2 Ga 2.41

***

3.
Here is an optimized crystal structure of Pr6SbSe12 from Alexandria via LeMat-Bulk. Energies are from GGA-PBE.

Summary:
* crystal system: trigonal
* Fermi-level density of states: 12.17 states/eV/f.u.
* magnetic moment: 0.0 μB per cell
* total energy: -307.24 eV for the cell shown

Lattice parameters (Å, degrees): 12.7391 12.7391 12.3090 90.00 90.00 120.00
Last column: nearest neighbours and their distance in Å.
Space group R-3 (No. 148, hexagonal axes)
Unique sites:
Pr 0.0462 0.7723 0.1340 x18  7 Se 2.95-3.22
Sb 0.0000 0.0000 0.5000 x3  6 Se 2.79
Se 0.0338 0.8183 0.8973 x18  4 Pr 2.95-3.01
Se 0.0773 0.8638 0.3821 x18  1 Sb 2.79, 1 Se 3.00, 2 Pr 3.10-3.11

***

4.
Here is an optimized crystal structure of CeSnHg from Alexandria via LeMat-Bulk. Energies are from GGA-PBE.

Summary:
* crystal system: trigonal
* Fermi-level density of states: 6.38 states/eV/f.u.
* magnetic moment: 0.8 μB per cell
* energy above the lowest structure with this stoichiometry: 26.1 meV/atom
* E_form: -0.430 eV/atom

Lattice parameters (Å, degrees): 4.7806 4.7806 4.1973 90.00 90.00 120.00
Last column: nearest neighbours and their distance in Å.
Space group P3m1 (No. 156)
Unique sites:
Ce 0.0000 0.0000 0.0000 x1  3 Hg 3.15, 3 Sn 3.29
Sn 0.3333 0.6667 0.5754 x1  3 Hg 2.90
Hg 0.6667 0.3333 0.3615 x1  3 Sn 2.90, 3 Ce 3.15

***

5.
Here is an optimized crystal structure of Be2InFe from Alexandria via LeMat-Bulk. Energies are from GGA-PBE.

Summary:
* crystal system: tetragonal
* Fermi-level density of states: 2.78 states/eV/f.u.
* magnetic moment: 1.9 μB per cell
* E_form: 0.268 eV/atom

Lattice parameters (Å, degrees): 3.7693 3.7693 3.4719 90.00 90.00 90.00
Last column: nearest neighbours and their distance in Å.
Space group P4/mmm (No. 123)
Unique sites:
Be 0.0000 0.5000 0.0000 x2  4 In 2.56, 4 Fe 2.56, 4 Be 2.67
In 0.0000 0.0000 0.5000 x1  8 Be 2.56, 4 Fe 2.67
Fe 0.5000 0.5000 0.5000 x1  8 Be 2.56, 4 In 2.67

***

6.
Here is an optimized crystal structure of ScAlGa from Alexandria via LeMat-Bulk. Energies are from GGA-PBE.

Summary:
* crystal system: orthorhombic
* Fermi-level density of states: 1.16 states/eV/f.u.
* magnetic moment: 0.0 μB per cell
* E_form: -0.520 eV/atom

Lattice parameters (Å, degrees): 4.3995 6.4232 7.6444 90.00 90.00 90.00
Last column: nearest neighbours and their distance in Å.
Space group Immm (No. 71)
Unique sites:
Sc 0.0000 0.2483 0.0000 x4  6 Al 3.00-3.02, 6 Ga 3.00-3.02, 2 Sc 3.19-3.23
Al 0.0000 0.0000 0.3323 x4  2 Ga 2.54, 1 Al 2.56
Ga 0.0000 0.5000 0.3332 x4  2 Al 2.54, 1 Ga 2.55

***

7.
Here is an optimized crystal structure of LiGa2Hg2I6 from Alexandria via LeMat-Bulk. Energies are from GGA-PBE.

Summary:
* crystal system: trigonal
* Fermi-level density of states: 4.66 states/eV/f.u.
* magnetic moment: 0.0 μB per cell
* total energy: -22.65 eV for the cell shown

Lattice parameters (Å, degrees): 7.6890 7.6890 8.8555 90.00 90.00 120.00
Last column: nearest neighbours and their distance in Å.
Space group P-3 (No. 147)
Unique sites:
Li 0.0000 0.0000 0.0000 x1  6 I 3.04
Ga 0.3333 0.6667 0.6930 x2  1 Hg 2.61, 3 I 2.72
Hg 0.3333 0.6667 0.3983 x2  1 Ga 2.61
I 0.0100 0.6819 0.8015 x6  1 Ga 2.72, 1 Li 3.04

***

8.
Here is an optimized crystal structure of NdDy15Ho4 from Alexandria via LeMat-Bulk. Energies are from GGA-PBE.

Summary:
* crystal system: tetragonal
* Fermi-level density of states: 26.19 states/eV/f.u.
* magnetic moment: 0.0 μB per cell
* E_form: 0.019 eV/atom

Lattice parameters (Å, degrees): 5.0129 5.0129 25.0662 90.00 90.00 90.00
Last column: nearest neighbours and their distance in Å.
Space group P4/mmm (No. 123)
Unique sites:
Nd 0.0000 0.0000 0.0000 x1  12 Dy 3.54-3.57
Dy 0.0000 0.5000 0.1017 x4  2 Ho 3.54, 8 Dy 3.54-3.57, 2 Nd 3.57
Dy 0.0000 0.5000 0.3009 x4  8 Dy 3.53-3.54, 4 Ho 3.54
Dy 0.0000 0.5000 0.5000 x2  4 Ho 3.54, 8 Dy 3.54
Dy 0.5000 0.5000 0.0000 x1  4 Nd 3.54, 8 Dy 3.57
Dy 0.5000 0.5000 0.2016 x2  8 Dy 3.53-3.54, 4 Ho 3.54
Dy 0.5000 0.5000 0.4004 x2  8 Dy 3.54, 4 Ho 3.54
Ho 0.0000 0.0000 0.2012 x2  12 Dy 3.54
Ho 0.0000 0.0000 0.4005 x2  12 Dy 3.54

***

- What is the formula in the fifth record?
  Be2InFe

***

- What is the magnetic moment in the first record?
  0.0 μB per cell